Record 1
VCuAu4 | PBE | relaxed

The structure in POSCAR format:
```
VCuAu4
1.0
9.1235 0.0000 0.0000
0.0000 2.8372 0.0000
-4.1057 0.0000 7.9433
V Cu Au
2 2 8
Cartesian
0.0000 0.0000 0.0000 V
4.5617 1.4186 0.0000 V
-2.0529 1.4186 3.9717 Cu
2.5089 0.0000 3.9717 Cu
-0.0941 0.0000 2.7469 Au
-1.5803 0.0000 6.6315 Au
2.0363 1.4186 1.3118 Au
0.5501 1.4186 5.1964 Au
4.4676 1.4186 2.7469 Au
2.9815 1.4186 6.6315 Au
6.5980 0.0000 1.3118 Au
5.1119 0.0000 5.1964 Au
```

Summary:
Its formation energy is 0.124 eV per atom. The electronic total energy is -4.263 eV per atom. As for the magnetization: 0.4228 μB/atom. Its energy above the most stable polymorph in this dataset is 0.0000 eV per atom.

***

Record 2
VCuAu4 | PBE | relaxed

The structure in POSCAR format:
```
VCuAu4
1.0
5.5509 0.0000 0.0000
0.0000 9.1478 0.0000
0.0000 0.0000 4.6115
V Cu Au
2 2 8
Cartesian
0.0000 0.0000 0.0000 V
2.7755 4.5739 0.0000 V
0.0000 4.5739 0.0000 Cu
2.7755 0.0000 0.0000 Cu
1.3894 0.0000 2.3058 Au
1.3877 2.2869 0.0000 Au
1.3861 4.5739 2.3058 Au
1.3877 6.8608 0.0000 Au
4.1615 0.0000 2.3058 Au
4.1632 2.2869 0.0000 Au
4.1648 4.5739 2.3058 Au
4.1632 6.8608 0.0000 Au
```

Summary:
Its formation energy is 0.192 eV per atom. The electronic total energy is -4.196 eV per atom. As for the magnetization: 0.3932 μB/atom. Its energy above the most stable polymorph in this dataset is 0.0673 eV per atom.

***

Record 3
VCu4Au | PBE | relaxed

The structure in POSCAR format:
```
VCu4Au
1.0
0.0000 3.4338 3.4338
3.4338 0.0000 3.4338
3.4338 3.4338 0.0000
V Cu Au
1 4 1
Cartesian
0.0000 0.0000 0.0000 V
2.5731 2.5731 2.5731 Cu
4.2944 4.2944 2.5731 Cu
4.2944 2.5731 4.2944 Cu
2.5731 4.2944 4.2944 Cu
5.1507 5.1507 5.1507 Au
```

Summary:
Its formation energy is 0.099 eV per atom. The electronic total energy is -4.698 eV per atom. As for the magnetization: 0.4122 μB/atom.

***

Record 4
VZnCu2Au | PBE | relaxed

The structure in POSCAR format:
```
VZnCu2Au
1.0
4.6275 0.0000 0.0000
0.0000 4.6275 0.0000
0.0000 0.0000 4.8965
V Zn Cu Au
1 1 2 1
Cartesian
0.0000 0.0000 0.0000 V
2.3137 2.3137 2.4483 Zn
0.0000 2.3137 0.0000 Cu
2.3137 0.0000 0.0000 Cu
0.0000 0.0000 2.4483 Au
```

Summary:
Its formation energy is 1.142 eV per atom. The electronic total energy is -3.230 eV per atom. As for the magnetization: 0.4709 μB/atom.

***

Record 5
VZnCuAu | PBE | relaxed

The structure in POSCAR format:
```
VZnCuAu
1.0
6.1680 0.0000 0.0000
0.0000 6.1680 0.0000
0.0000 0.0000 6.1680
V Zn Cu Au
4 4 4 4
Cartesian
0.0000 0.0000 0.0000 V
0.0000 3.0840 3.0840 V
3.0840 0.0000 3.0840 V
3.0840 3.0840 0.0000 V
0.0000 0.0000 3.0840 Zn
0.0000 3.0840 0.0000 Zn
3.0840 0.0000 0.0000 Zn
3.0840 3.0840 3.0840 Zn
1.5420 1.5420 4.6260 Cu
1.5420 4.6260 1.5420 Cu
4.6260 1.5420 1.5420 Cu
4.6260 4.6260 4.6260 Cu
1.5420 1.5420 1.5420 Au
1.5420 4.6260 4.6260 Au
4.6260 1.5420 4.6260 Au
4.6260 4.6260 1.5420 Au
```

Summary:
Its formation energy is 0.075 eV per atom. The electronic total energy is -4.367 eV per atom. As for the magnetization: 0.1885 μB/atom.

***

Record 6
CuWAu | PBE | relaxed

The structure in POSCAR format:
```
CuWAu
1.0
5.8629 0.0000 0.0000
0.0000 5.8629 0.0000
0.0000 0.0000 5.8629
Cu W Au
4 4 4
Cartesian
0.0000 0.0000 0.0000 Cu
0.0000 2.9315 2.9315 Cu
2.9315 0.0000 2.9315 Cu
2.9315 2.9315 0.0000 Cu
1.4657 1.4657 1.4657 W
1.4657 4.3972 4.3972 W
4.3972 1.4657 4.3972 W
4.3972 4.3972 1.4657 W
1.4657 1.4657 4.3972 Au
1.4657 4.3972 1.4657 Au
4.3972 1.4657 1.4657 Au
4.3972 4.3972 4.3972 Au
```

Summary:
Its formation energy is 0.842 eV per atom. The electronic total energy is -5.934 eV per atom. As for the magnetization: 0.0000 μB/atom. Its energy above the most stable polymorph in this dataset is 0.5316 eV per atom.

***

Record 7
CuWAu | PBE | relaxed

The structure in POSCAR format:
```
CuWAu
1.0
2.7242 0.0000 0.0000
0.0000 3.9886 0.0000
0.0000 0.0000 8.4712
Cu W Au
2 2 2
Cartesian
0.0000 0.0000 0.0000 Cu
1.3621 1.9943 4.2356 Cu
0.0000 0.0000 5.5521 W
1.3621 1.9943 1.3165 W
0.0000 0.0000 2.8126 Au
1.3621 1.9943 7.0482 Au
```

Summary:
Its formation energy is 0.489 eV per atom. The electronic total energy is -6.287 eV per atom. As for the magnetization: 0.0000 μB/atom. Its energy above the most stable polymorph in this dataset is 0.1790 eV per atom.

***

Record 8
CuWAu2 | PBE | relaxed

The structure in POSCAR format:
```
CuWAu2
1.0
4.9076 0.0000 0.0000
0.0000 4.9076 0.0000
0.0000 0.0000 2.7403
Cu W Au
1 1 2
Cartesian
0.0000 0.0000 0.0000 Cu
2.4538 2.4538 0.0000 W
0.0000 2.4538 1.3701 Au
2.4538 0.0000 1.3701 Au
```

Summary:
Its formation energy is 0.384 eV per atom. The electronic total energy is -5.517 eV per atom. As for the magnetization: 0.0347 μB/atom. Its energy above the most stable polymorph in this dataset is 0.1755 eV per atom.

***

Record 9
CuWAu2 | PBE | relaxed

The structure in POSCAR format:
```
CuWAu2
1.0
2.8865 0.0000 0.0000
-1.4433 2.4998 0.0000
0.0000 0.0000 26.8141
Cu W Au
3 3 6
Cartesian
0.0000 0.0000 0.0000 Cu
0.0000 1.6666 17.8761 Cu
1.4433 0.8333 8.9380 Cu
0.0000 0.0000 13.4071 W
0.0000 1.6666 4.4690 W
1.4433 0.8333 22.3451 W
0.0000 0.0000 6.7991 Au
0.0000 0.0000 20.0150 Au
0.0000 1.6666 11.0770 Au
0.0000 1.6666 24.6752 Au
1.4433 0.8333 2.1389 Au
1.4433 0.8333 15.7372 Au
```

Summary:
Its formation energy is 0.273 eV per atom. The electronic total energy is -5.628 eV per atom. As for the magnetization: 0.0000 μB/atom. Its energy above the most stable polymorph in this dataset is 0.0646 eV per atom.

***

Record 10
CuWAu2 | PBE | relaxed

The structure in POSCAR format:
```
CuWAu2
1.0
4.1696 0.0000 0.0000
0.0000 4.1696 0.0000
0.0000 0.0000 7.4180
Cu W Au
2 2 4
Cartesian
0.0000 0.0000 0.0000 Cu
2.0848 2.0848 3.7090 Cu
0.0000 0.0000 3.7090 W
2.0848 2.0848 0.0000 W
0.0000 2.0848 1.8545 Au
0.0000 2.0848 5.5635 Au
2.0848 0.0000 1.8545 Au
2.0848 0.0000 5.5635 Au
```

Summary:
Its formation energy is 0.478 eV per atom. The electronic total energy is -5.423 eV per atom. As for the magnetization: 0.1122 μB/atom. Its energy above the most stable polymorph in this dataset is 0.2688 eV per atom.

***

Record 11
CuWAu | PBE | relaxed

The structure in POSCAR format:
```
CuWAu
1.0
2.8332 0.0000 0.0000
0.0000 2.8332 0.0000
0.0000 0.0000 11.4081
Cu W Au
2 2 2
Cartesian
0.0000 0.0000 0.0000 Cu
1.4166 1.4166 5.7040 Cu
0.0000 0.0000 3.9675 W
1.4166 1.4166 9.6716 W
0.0000 0.0000 7.5985 Au
1.4166 1.4166 1.8945 Au
```

Summary:
Its formation energy is 0.310 eV per atom. The electronic total energy is -6.466 eV per atom. As for the magnetization: 0.0000 μB/atom. Its energy above the most stable polymorph in this dataset is 0.0000 eV per atom.

***

Record 12
CuWAu | PBE | relaxed

The structure in POSCAR format:
```
CuWAu
1.0
2.8109 0.0000 0.0000
-1.4054 2.4343 0.0000
0.0000 0.0000 6.8257
Cu W Au
1 1 1
Cartesian
0.0000 0.0000 0.0000 Cu
1.4054 0.8114 2.1609 W
0.0000 1.6229 4.5798 Au
```

Summary:
Its formation energy is 0.338 eV per atom. The electronic total energy is -6.437 eV per atom. As for the magnetization: 0.0000 μB/atom. Its energy above the most stable polymorph in this dataset is 0.0284 eV per atom.

***

Question: Among the records above, which one has the highest electronic total energy?
Answer: VZnCu2Au

***

Question: Which value of electronic total energy does entry 2 give?
Answer: -4.196 eV per atom